Below is NiBiO4 after structural relaxation, with properties calculated at the GGA+U level.

The structure in extended XYZ format:
```
12
Lattice="5.531 -0.023 -1.714 -3.010 4.641 -1.714 0.012 0.023 5.791" Properties=species:S:1:pos:R:3 pbc="T T T"
O 1.434 4.554 1.653
O -2.005 4.554 -0.876
O -0.264 2.700 0.359
O 2.340 2.393 -1.016
O -1.382 4.440 1.879
O 3.924 0.182 0.472
O 2.786 1.953 2.019
O 0.285 2.415 3.254
Bi 0.624 1.142 -0.848
Bi 4.026 2.297 0.333
Ni 1.901 3.482 -2.585
Ni 2.782 0.018 2.025
```

The value obtained for the total magnetization is 0.98 μB per formula unit. As for the crystal system: tetragonal. The total energy is -60.91 eV for the cell shown.